TlNi2AgF at its PBEsol-relaxed geometry. Source: Alexandria via LeMat-Bulk, functional SCAN.

Unit cell a=4.4573 b=4.7593 c=4.7593 alpha=90.00 beta=90.00 gamma=90.00
With the nearest neighbours (Å) after each atom.
Element x y z (fractional)
Ni1 0.0000 0.0000 0.5000  2 Tl 2.38
Ni2 0.0000 0.5000 0.0000  2 Tl 2.38
Tl1 0.0000 0.0000 0.0000  2 F 2.23, 4 Ni 2.38
Ag1 0.5000 0.5000 0.5000  8 Ni 3.26, 4 F 3.37
F1 0.5000 0.0000 0.0000  2 Tl 2.23

Values from the calculation:
Total energy = -27.274 eV/atom
SG = P4/mmm
Raw formation energy = 0.65 eV per atom
Calculated density = 7.379 g/cm3
Total magnetization = 2.17 Bohr magnetons per cell

***

AgPO2F2 at its PBEsol-relaxed geometry. Source: Alexandria via LeMat-Bulk, functional SCAN.

Unit cell a=6.0252 b=10.2066 c=13.3805 alpha=111.35 beta=101.29 gamma=94.41
With the nearest neighbours (Å) after each atom.
Element x y z (fractional)
Ag1 0.3999 0.8743 0.8881  5 O 2.28-2.51
Ag2 0.9882 0.0139 0.8881  5 O 2.28-2.51
Ag3 0.6001 0.1257 0.1119  5 O 2.28-2.51
Ag4 0.0118 0.9861 0.1119  5 O 2.28-2.51
Ag5 0.0431 0.6556 0.6241  5 O 2.33-2.52
Ag6 0.0810 0.9685 0.6241  5 O 2.33-2.52
Ag7 0.9569 0.3444 0.3759  5 O 2.33-2.52
Ag8 0.9190 0.0315 0.3759  5 O 2.33-2.52
P1 0.8829 0.6887 0.8615  2 O 1.50-1.51, 2 F 1.56
P2 0.4785 0.1728 0.8615  2 O 1.50-1.51, 2 F 1.56
P3 0.1171 0.3113 0.1385  2 O 1.50-1.51, 2 F 1.56
P4 0.5215 0.8272 0.1385  2 O 1.50-1.51, 2 F 1.56
P5 0.9356 0.6856 0.3712  2 O 1.50, 2 F 1.56
P6 0.0644 0.3144 0.6288  2 O 1.50, 2 F 1.56
P7 0.4360 0.1860 0.3720  2 O 1.50, 2 F 1.56
P8 0.5640 0.8140 0.6280  2 O 1.50, 2 F 1.56
O1 0.3795 0.8388 0.6904  1 P 1.50
O2 0.8109 0.8515 0.6904  1 P 1.50
O3 0.6205 0.1612 0.3096  1 P 1.50
O4 0.1891 0.1485 0.3096  1 P 1.50
O5 0.9749 0.5908 0.4338  1 P 1.50
O6 0.9589 0.8430 0.4338  1 P 1.50
O7 0.0251 0.4092 0.5662  1 P 1.50
O8 0.0411 0.1570 0.5662  1 P 1.50
O9 0.7995 0.8247 0.9220  1 P 1.51
O10 0.6225 0.0973 0.9220  1 P 1.51
O11 0.2005 0.1753 0.0780  1 P 1.51
O12 0.3775 0.9027 0.0780  1 P 1.51
O13 0.0936 0.6940 0.8184  1 P 1.50
O14 0.2248 0.1244 0.8184  1 P 1.50
O15 0.9064 0.3060 0.1816  1 P 1.50
O16 0.7752 0.8756 0.1816  1 P 1.50
F1 0.6963 0.6305 0.2872  1 P 1.56
F2 0.0909 0.6567 0.2872  1 P 1.56
F3 0.3037 0.3695 0.7128  1 P 1.56
F4 0.9091 0.3433 0.7128  1 P 1.56
F5 0.6790 0.5911 0.7643  1 P 1.56
F6 0.5853 0.1733 0.7643  1 P 1.56
F7 0.3210 0.4089 0.2357  1 P 1.56
F8 0.4147 0.8267 0.2357  1 P 1.56
F9 0.9065 0.5999 0.9349  1 P 1.56
F10 0.5283 0.3350 0.9349  1 P 1.56
F11 0.0935 0.4001 0.0651  1 P 1.56
F12 0.4717 0.6650 0.0651  1 P 1.56
F13 0.4817 0.3447 0.4561  1 P 1.56
F14 0.4743 0.1114 0.4561  1 P 1.56
F15 0.5183 0.6553 0.5439  1 P 1.56
F16 0.5257 0.8886 0.5439  1 P 1.56

Values from the calculation:
Total energy = -12.269 eV/atom
SG = C2/c
Raw formation energy = -2.05 eV per atom
Calculated density = 3.741 g/cm3
Total magnetization = 0.00 Bohr magnetons per cell

***

AgPbO2F at its PBEsol-relaxed geometry. Source: Alexandria via LeMat-Bulk, functional SCAN.

Unit cell a=4.1695 b=4.1695 c=4.3775 alpha=90.00 beta=90.00 gamma=90.00
With the nearest neighbours (Å) after each atom.
Element x y z (fractional)
Pb1 0.0000 0.0000 0.0000  4 O 2.08, 2 F 2.19
O1 0.0000 0.5000 0.0000  2 Pb 2.08
O2 0.5000 0.0000 0.0000  2 Pb 2.08
Ag1 0.5000 0.5000 0.5000  4 F 2.95, 8 O 3.02
F1 0.0000 0.0000 0.5000  2 Pb 2.19

Values from the calculation:
Total energy = -25.329 eV/atom
SG = P4/mmm
Raw formation energy = -0.70 eV per atom
Calculated density = 7.988 g/cm3
Total magnetization = 0.00 Bohr magnetons per cell

***

RbAgOF2 at its PBEsol-relaxed geometry. Source: Alexandria via LeMat-Bulk, functional SCAN.

Unit cell a=4.4137 b=4.8259 c=4.8259 alpha=90.00 beta=90.00 gamma=90.00
With the nearest neighbours (Å) after each atom.
Element x y z (fractional)
O1 0.5000 0.0000 0.0000  2 Rb 2.21
Rb1 0.0000 0.0000 0.0000  2 O 2.21, 4 F 2.41
Ag1 0.5000 0.5000 0.5000  8 F 3.27, 4 O 3.41
F1 0.0000 0.0000 0.5000  2 Rb 2.41
F2 0.0000 0.5000 0.0000  2 Rb 2.41

Values from the calculation:
Total energy = -13.340 eV/atom
SG = P4/mmm
Raw formation energy = -0.26 eV per atom
Calculated density = 3.996 g/cm3
Total magnetization = 2.01 Bohr magnetons per cell

***

RbAgOF2 at its PBEsol-relaxed geometry. Source: Alexandria via LeMat-Bulk, functional SCAN.

Unit cell a=3.9121 b=4.4618 c=4.4618 alpha=90.00 beta=90.00 gamma=90.00
With the nearest neighbours (Å) after each atom.
Element x y z (fractional)
O1 0.5000 0.0000 0.0000  2 Ag 1.96
Rb1 0.5000 0.5000 0.5000  8 F 2.97, 4 O 3.15
Ag1 0.0000 0.0000 0.0000  2 O 1.96
F1 0.0000 0.0000 0.5000  2 Ag 2.23
F2 0.0000 0.5000 0.0000  2 Ag 2.23

Values from the calculation:
Total energy = -14.535 eV/atom
SG = P4/mmm
Raw formation energy = -1.45 eV per atom
Calculated density = 5.274 g/cm3
Total magnetization = 0.82 Bohr magnetons per cell

***

AgSO2F at its PBEsol-relaxed geometry. Source: Alexandria via LeMat-Bulk, functional SCAN.

Unit cell a=3.5704 b=3.5704 c=4.5170 alpha=90.00 beta=90.00 gamma=90.00
With the nearest neighbours (Å) after each atom.
Element x y z (fractional)
S1 0.0000 0.0000 0.0000  4 O 1.79
O1 0.0000 0.5000 0.0000  2 S 1.79
O2 0.5000 0.0000 0.0000  2 S 1.79
Ag1 0.5000 0.5000 0.5000  4 F 2.52
F1 0.0000 0.0000 0.5000  2 S 2.26, 4 Ag 2.52

Values from the calculation:
Total energy = -11.701 eV/atom
SG = P4/mmm
Raw formation energy = -0.30 eV per atom
Calculated density = 5.506 g/cm3
Total magnetization = 0.00 Bohr magnetons per cell

***

AgSbSO2F6 at its PBEsol-relaxed geometry. Source: Alexandria via LeMat-Bulk, functional SCAN.

Unit cell a=7.5832 b=8.0616 c=10.9548 alpha=90.00 beta=90.80 gamma=90.00
With the nearest neighbours (Å) after each atom.
Element x y z (fractional)
Ag1 0.7529 0.7550 0.4730  2 O 2.39-2.52, 4 F 2.43-2.51
Ag2 0.2529 0.7450 0.9730  2 O 2.39-2.52, 4 F 2.43-2.51
Ag3 0.2471 0.2450 0.5270  2 O 2.39-2.52, 4 F 2.43-2.51
Ag4 0.7471 0.2550 0.0270  2 O 2.39-2.52, 4 F 2.43-2.51
Sb1 0.2537 0.7501 0.6249  6 F 1.91-1.92
Sb2 0.7537 0.7499 0.1249  6 F 1.91-1.92
Sb3 0.7463 0.2499 0.3751  6 F 1.91-1.92
Sb4 0.2463 0.2501 0.8751  6 F 1.91-1.92
S1 0.7671 0.5970 0.7721  2 O 1.45
S2 0.2671 0.9030 0.2721  2 O 1.45
S3 0.2329 0.4030 0.2279  2 O 1.45
S4 0.7329 0.0970 0.7279  2 O 1.45
O1 0.7738 0.5666 0.6414  1 S 1.45
O2 0.2738 0.9334 0.1414  1 S 1.45
O3 0.2262 0.4334 0.3586  1 S 1.45
O4 0.7262 0.0666 0.8586  1 S 1.45
O5 0.7720 0.4487 0.8471  1 S 1.45
O6 0.2720 0.0513 0.3471  1 S 1.45
O7 0.2280 0.5513 0.1529  1 S 1.45
O8 0.7280 0.9487 0.6529  1 S 1.45
F1 0.4281 0.7181 0.5025  1 Sb 1.91
F2 0.9281 0.7819 0.0025  1 Sb 1.91
F3 0.5719 0.2819 0.4975  1 Sb 1.91
F4 0.0719 0.2181 0.9975  1 Sb 1.91
F5 0.0834 0.7834 0.7501  1 Sb 1.92
F6 0.5834 0.7166 0.2501  1 Sb 1.92
F7 0.9166 0.2166 0.2499  1 Sb 1.92
F8 0.4166 0.2834 0.7499  1 Sb 1.92
F9 0.1946 0.5202 0.6174  1 Sb 1.91
F10 0.6946 0.9798 0.1174  1 Sb 1.91
F11 0.8054 0.4798 0.3826  1 Sb 1.91
F12 0.3054 0.0202 0.8826  1 Sb 1.91
F13 0.4259 0.7100 0.7511  1 Sb 1.92
F14 0.9259 0.7900 0.2511  1 Sb 1.92
F15 0.5741 0.2900 0.2489  1 Sb 1.92
F16 0.0741 0.2100 0.7489  1 Sb 1.92
F17 0.3118 0.9815 0.6246  1 Sb 1.92
F18 0.8118 0.5185 0.1246  1 Sb 1.92
F19 0.6882 0.0185 0.3754  1 Sb 1.92
F20 0.1882 0.4815 0.8754  1 Sb 1.92
F21 0.0763 0.7946 0.5030  1 Sb 1.92
F22 0.5763 0.7054 0.0030  1 Sb 1.92
F23 0.9237 0.2054 0.4970  1 Sb 1.92
F24 0.4237 0.2946 0.9970  1 Sb 1.92

Values from the calculation:
Total energy = -12.050 eV/atom
SG = P2_1/c
Raw formation energy = -1.87 eV per atom
Calculated density = 4.044 g/cm3
Total magnetization = 0.27 Bohr magnetons per cell

***

ScAgO2F at its PBEsol-relaxed geometry. Source: Alexandria via LeMat-Bulk, functional SCAN.

Unit cell a=3.9992 b=4.0724 c=4.0724 alpha=90.00 beta=90.00 gamma=90.00
With the nearest neighbours (Å) after each atom.
Element x y z (fractional)
Sc1 0.0000 0.0000 0.0000  2 F 2.00, 4 O 2.04
O1 0.0000 0.0000 0.5000  2 Sc 2.04
O2 0.0000 0.5000 0.0000  2 Sc 2.04
Ag1 0.5000 0.5000 0.5000  8 O 2.85, 4 F 2.88
F1 0.5000 0.0000 0.0000  2 Sc 2.00

Values from the calculation:
Total energy = -14.460 eV/atom
SG = P4/mmm
Raw formation energy = -2.14 eV per atom
Calculated density = 5.103 g/cm3
Total magnetization = 1.00 Bohr magnetons per cell